Sc2AlZn: relaxed, PBEsol.

- electronic total energy (eV/atom) = -5.151
- formation enthalpy at 0 K (meV/atom) = -430
- density (g cm⁻³) = 4.1
- space group = No. 225
- total moment (μB/cell) = 0.00
- relative energy among the computed polymorphs (eV/f.u.) = 0.03

a b c (Å): 4.7077 4.7077 4.7077
angles (deg): 60.00 60.00 60.00
Closest atoms and distances in Å follow each position.
Element x y z (fractional)
1 Sc 0.2500 0.2500 0.2500  4 Zn 2.88, 4 Al 2.88
2 Sc 0.7500 0.7500 0.7500  4 Al 2.88, 4 Zn 2.88
3 Al 0.0000 0.0000 0.0000  8 Sc 2.88
4 Zn 0.5000 0.5000 0.5000  8 Sc 2.88



Sc2AlZn2: relaxed, PBEsol.

- electronic total energy (eV/atom) = -4.487
- formation enthalpy at 0 K (meV/atom) = -394
- density (g cm⁻³) = 4.6
- space group = No. 127
- total moment (μB/cell) = 0.00

a b c (Å): 6.7018 6.7018 3.9951
angles (deg): 90.00 90.00 90.00
Closest atoms and distances in Å follow each position.
Element x y z (fractional)
1 Sc 0.1700 0.3300 0.0000  6 Zn 2.76-2.85
2 Sc 0.3300 0.8300 0.0000  6 Zn 2.76-2.85
3 Sc 0.6700 0.1700 0.0000  6 Zn 2.76-2.85
4 Sc 0.8300 0.6700 0.0000  6 Zn 2.76-2.85
5 Al 0.0000 0.0000 0.5000  4 Zn 2.63
6 Al 0.5000 0.5000 0.5000  4 Zn 2.63
7 Zn 0.1296 0.6296 0.5000  1 Zn 2.46, 2 Al 2.63
8 Zn 0.3704 0.1296 0.5000  1 Zn 2.46, 2 Al 2.63
9 Zn 0.6296 0.8704 0.5000  1 Zn 2.46, 2 Al 2.63
10 Zn 0.8704 0.3704 0.5000  1 Zn 2.46, 2 Al 2.63



Question: Among the records above, which one has the lowest electronic total energy?
Answer: Sc2AlZn



Question: Look up the total moment of the second one.
Answer: 0.00 μB/cell